No. 1
DFT (PBE) results for a relaxed TiSi2O6 crystal.

a b c (Å): 4.7079 4.7079 5.2732
angles (deg): 63.49 63.49 60.00
Last column: nearest neighbours and their distance in Å.
Atoms (fractional coordinates):
Ti 0.3181 0.3181 0.0456  6 O 1.94-2.05
Si 0.8248 0.8248 0.5256  6 O 1.73-1.90
Si 0.5105 0.5105 0.4684  6 O 1.78-1.80
O 0.6982 0.4791 0.7154  2 Si 1.73-1.80
O 0.1073 0.6982 0.7154  2 Si 1.73-1.80
O 0.4791 0.1073 0.7154  2 Si 1.73-1.80
O 0.2389 0.5934 0.2724  2 Si 1.78-1.90, 1 Ti 1.94
O 0.8953 0.2389 0.2724  2 Si 1.78-1.90, 1 Ti 1.94
O 0.5934 0.8953 0.2724  2 Si 1.78-1.90, 1 Ti 1.94

E above lowest polymorph in eV/atom: 0.191
Formation energy from raw total energies in meV per atom: -2649.1


No. 2
DFT (PBE) results for a relaxed TiSi2O6 crystal.

a b c (Å): 6.5774 6.5774 5.3694
angles (deg): 75.31 75.31 84.27
Last column: nearest neighbours and their distance in Å.
Atoms (fractional coordinates):
Ti 0.8900 0.1100 0.7500  4 O 1.84-2.00
Ti 0.1100 0.8900 0.2500  4 O 1.84-2.00
Si 0.7857 0.6202 0.7471  4 O 1.62-1.66
Si 0.6202 0.7857 0.2471  4 O 1.62-1.66
Si 0.3798 0.2143 0.7529  4 O 1.62-1.66
Si 0.2143 0.3798 0.2529  4 O 1.62-1.66
O 0.9526 0.8147 0.6310  1 Si 1.66
O 0.8147 0.9526 0.1310  1 Si 1.66
O 0.8948 0.3830 0.7743  1 Si 1.64
O 0.6344 0.6517 0.5415  2 Si 1.62-1.63
O 0.3830 0.8948 0.2743  1 Si 1.64
O 0.6517 0.6344 0.0415  2 Si 1.62-1.63
O 0.3483 0.3656 0.9585  2 Si 1.62-1.63
O 0.6170 0.1052 0.7257  1 Si 1.64
O 0.3656 0.3483 0.4585  2 Si 1.62-1.63
O 0.1052 0.6170 0.2257  1 Si 1.64
O 0.1853 0.0474 0.8690  1 Si 1.66
O 0.0474 0.1853 0.3690  1 Si 1.66

E above lowest polymorph in eV/atom: 0.000
Formation energy from raw total energies in meV per atom: -2840.2


Number 1: final energy -8.04 eV per atom. Number 2: final energy -8.23 eV per atom.